(1)
CrAs2Au | PBE | relaxed

## Properties
Density   9116 kg/m3
Size of the total moment   2.90 μB per formula unit
Formation enthalpy at 0 K   95.0 meV/atom
Calculated volume   18.2 A^3/atom

Cell lengths 3.854, 3.650, 5.211 Å; angles 90.00, 97.65, 90.00 degrees
Space group Pm (No. 6)
Inequivalent atoms, fractional coordinates:
Cr (0.000, 0.000, 0.000) (multiplicity 1)
As (0.140, 0.000, 0.515) (multiplicity 1)
As (0.502, 0.500, 0.077) (multiplicity 1)
Au (0.653, 0.500, 0.590) (multiplicity 1)

---

(2)
Zr6Cu5Ir | PBE | relaxed

## Properties
Density   8264 kg/m3
Size of the total moment   0.00 μB per formula unit
Formation enthalpy at 0 K   -258.8 meV/atom
Calculated volume   17.7 A^3/atom

Cell lengths 4.632, 6.606, 7.307 Å; angles 90.00, 108.16, 90.00 degrees
Space group P2/m (No. 10)
Inequivalent atoms, fractional coordinates:
Zr (0.000, 0.249, 0.000) (multiplicity 2)
Zr (0.336, 0.251, 0.670) (multiplicity 4)
Cu (0.163, 0.500, 0.330) (multiplicity 2)
Cu (0.172, 0.000, 0.349) (multiplicity 2)
Cu (0.500, 0.500, 0.000) (multiplicity 1)
Ir (0.500, 0.000, 0.000) (multiplicity 1)

---

(3)
Ir2Au | PBE | relaxed

## Properties
Density   19357 kg/m3
Size of the total moment   0.03 μB per formula unit
Formation enthalpy at 0 K   495.5 meV/atom
Calculated volume   16.6 A^3/atom

Cell lengths 5.2577, 5.2577, 8.3335 Å; angles 90.00, 90.00, 120.00 degrees
Space group P6_3/mmc (No. 194)
Inequivalent atoms, fractional coordinates:
Ir (0.0000, 0.0000, 0.0000) (multiplicity 2)
Ir (0.1715, 0.3430, 0.2500) (multiplicity 6)
Au (0.3333, 0.6667, 0.5719) (multiplicity 4)

---

(4)
BaNdBi2 | PBE | relaxed

## Properties
Density   8117 kg/m3
Size of the total moment   0.00 μB per formula unit
Formation enthalpy at 0 K   -749.0 meV/atom
Calculated volume   35.8 A^3/atom

Cell lengths 4.034, 4.034, 8.795 Å; angles 90.00, 90.00, 90.00 degrees
Space group P4/mmm (No. 123)
Inequivalent atoms, fractional coordinates:
Ba (0.000, 0.000, 0.000) (multiplicity 1)
Nd (0.000, 0.000, 0.500) (multiplicity 1)
Bi (0.500, 0.500, 0.277) (multiplicity 2)

---

(5)
GdLuGeRu | PBE | relaxed

## Properties
Density   10085 kg/m3
Size of the total moment   6.96 μB per formula unit
Formation enthalpy at 0 K   -481.9 meV/atom
Calculated volume   20.8 A^3/atom

Cell lengths 6.933, 6.933, 6.933 Å; angles 90.00, 90.00, 90.00 degrees
Space group F-43m (No. 216)
Inequivalent atoms, fractional coordinates:
Gd (0.000, 0.000, 0.000) (multiplicity 4)
Lu (0.000, 0.000, 0.500) (multiplicity 4)
Ge (0.250, 0.250, 0.750) (multiplicity 4)
Ru (0.250, 0.250, 0.250) (multiplicity 4)

---

(6)
BeReTc | PBE | relaxed

## Properties
Density   10357 kg/m3
Size of the total moment   0.00 μB per formula unit
Formation enthalpy at 0 K   578.0 meV/atom
Calculated volume   15.7 A^3/atom

Cell lengths 5.729, 5.729, 5.729 Å; angles 90.00, 90.00, 90.00 degrees
Space group F-43m (No. 216)
Inequivalent atoms, fractional coordinates:
Be (0.000, 0.000, 0.000) (multiplicity 4)
Re (0.250, 0.250, 0.750) (multiplicity 4)
Tc (0.000, 0.000, 0.500) (multiplicity 4)

---

(7)
KAlRu2 | PBE | relaxed

## Properties
Density   6545 kg/m3
Size of the total moment   0.00 μB per formula unit
Formation enthalpy at 0 K   378.1 meV/atom
Calculated volume   17.0 A^3/atom

Cell lengths 2.8635, 2.8635, 28.7494 Å; angles 90.00, 90.00, 120.00 degrees
Space group R-3m (No. 166, hexagonal axes)
Inequivalent atoms, fractional coordinates:
K (0.0000, 0.0000, 0.0000) (multiplicity 3)
Al (0.0000, 0.0000, 0.5000) (multiplicity 3)
Ru (0.0000, 0.0000, 0.2346) (multiplicity 6)

---

(8)
Hf2PtF | PBE | relaxed

## Properties
Formation energy without anion corrections   -3.81 eV per formula unit
Density   11651 kg/m3
Size of the total moment   0.00 μB per formula unit
Calculated volume   20.3 A^3/atom

Cell lengths 5.033, 5.033, 12.853 Å; angles 90.00, 90.00, 90.00 degrees
Space group I-42d (No. 122)
Inequivalent atoms, fractional coordinates:
Hf (0.193, 0.250, 0.125) (multiplicity 8)
Pt (0.000, 0.000, 0.500) (multiplicity 4)
F (0.000, 0.000, 0.000) (multiplicity 4)

---

(9)
CuRu | PBE | relaxed

## Properties
Density   9468 kg/m3
Size of the total moment   0.00 μB per formula unit
Formation enthalpy at 0 K   513.2 meV/atom
Calculated volume   14.4 A^3/atom

Cell lengths 9.320, 9.320, 2.659 Å; angles 90.00, 90.00, 90.00 degrees
Space group I4/m (No. 87)
Inequivalent atoms, fractional coordinates:
Cu (0.100, 0.840, 0.000) (multiplicity 8)
Ru (0.094, 0.361, 0.000) (multiplicity 8)

---

(10)
Rb3CaPb2F9 | PBE | relaxed

## Properties
Formation energy without anion corrections   -42.25 eV per formula unit
Density   4578 kg/m3
Size of the total moment   0.00 μB per formula unit
Calculated volume   21.3 A^3/atom

Cell lengths 6.7124, 6.7124, 8.1975 Å; angles 90.00, 90.00, 120.00 degrees
Space group P-3m1 (No. 164)
Inequivalent atoms, fractional coordinates:
Rb (0.0000, 0.0000, 0.0000) (multiplicity 1)
Rb (0.3333, 0.6667, 0.6699) (multiplicity 2)
Ca (0.0000, 0.0000, 0.5000) (multiplicity 1)
Pb (0.3333, 0.6667, 0.1779) (multiplicity 2)
F (0.0000, 0.5000, 0.0000) (multiplicity 3)
F (0.1584, 0.3167, 0.3411) (multiplicity 6)

---

(11)
AlZnMo | PBE | relaxed

## Properties
Density   6682 kg/m3
Size of the total moment   0.00 μB per formula unit
Formation enthalpy at 0 K   65.7 meV/atom
Calculated volume   15.6 A^3/atom

Cell lengths 2.8307, 2.8307, 6.7448 Å; angles 90.00, 90.00, 120.00 degrees
Space group P3m1 (No. 156)
Inequivalent atoms, fractional coordinates:
Al (0.0000, 0.0000, 0.0000) (multiplicity 1)
Zn (0.3333, 0.6667, 0.6621) (multiplicity 1)
Mo (0.6667, 0.3333, 0.3269) (multiplicity 1)

---

(12)
PuThIrPt | PBE | relaxed

## Properties
Density   14684 kg/m3
Size of the total moment   5.00 μB per formula unit
Formation enthalpy at 0 K   -840.2 meV/atom
Calculated volume   24.4 A^3/atom

Cell lengths 4.105, 4.105, 5.792 Å; angles 90.00, 90.00, 90.00 degrees
Space group P4/mmm (No. 123)
Inequivalent atoms, fractional coordinates:
Pu (0.000, 0.000, 0.000) (multiplicity 1)
Th (0.500, 0.500, 0.500) (multiplicity 1)
Ir (0.000, 0.000, 0.500) (multiplicity 1)
Pt (0.500, 0.500, 0.000) (multiplicity 1)